{
  "formula": "SmEuGdSc",
  "functional": "PBE-GGA",
  "state": "relaxed",
  "magmom_total_mub_per_cell": 15.01,
  "vol_a3_per_fu": 128,
  "mass_density_g_cm3": 6.5,
  "final_energy_ev_per_atom": -8.6983,
  "cell": [[5.6595, 0.0000, 0.0000], [2.8298, 4.9013, 0.0000], [2.8298, 1.6338, 4.6210]],
  "species": ["Eu", "Sc", "Gd", "Sm"],
  "fractional_positions": [[0.5000, 0.5000, 0.5000], [0.0000, 0.0000, 0.0000], [0.2500, 0.2500, 0.2500], [0.7500, 0.7500, 0.7500]]
}

***

{
  "formula": "EuGdScTl",
  "functional": "PBE-GGA",
  "state": "relaxed",
  "magmom_total_mub_per_cell": 15.21,
  "vol_a3_per_fu": 116,
  "mass_density_g_cm3": 8.0,
  "final_energy_ev_per_atom": -8.3039,
  "cell": [[5.4786, 0.0000, 0.0000], [2.7393, 4.7446, 0.0000], [2.7393, 1.5815, 4.4732]],
  "species": ["Eu", "Sc", "Tl", "Gd"],
  "fractional_positions": [[0.2500, 0.2500, 0.2500], [0.0000, 0.0000, 0.0000], [0.5000, 0.5000, 0.5000], [0.7500, 0.7500, 0.7500]]
}

***

| no. | ΔH_f (0 K) (eV per atom) |
| --- | --- |
| 1 | 0.153 |
| 2 | -0.041 |